{
  "formula": "CsS",
  "functional": "GGA-PBE",
  "state": "relaxed",
  "final_energy_ev_per_atom": -3.367,
  "rho_g_cm3": 2.88,
  "magmom_total_mub_per_atom": 0.0000,
  "space_group": "P4_2/mnm (136)",
  "raw_formation_energy_ev_per_fu": -1.75,
  "lattice_angstrom": [[-1.525, 5.878, -4.434], [-2.667, -4.661, -5.262], [-6.136, 0.452, 2.710]],
  "species": ["Cs", "Cs", "Cs", "Cs", "S", "S", "S", "S"],
  "frac_coords": [[0.300, 0.300, 0.500], [0.800, 0.200, 0.000], [0.200, 0.800, 0.000], [0.700, 0.700, 0.500], [0.601, 0.601, 0.000], [0.899, 0.101, 0.500], [0.101, 0.899, 0.500], [0.399, 0.399, 0.000]]
}



{
  "formula": "NaAcPdRh",
  "functional": "GGA-PBE",
  "state": "relaxed",
  "final_energy_ev_per_atom": -4.759,
  "formation_enthalpy_0k_ev_per_atom": -0.27,
  "rho_g_cm3": 8.53,
  "magmom_total_mub_per_atom": 0.0000,
  "space_group": "F-43m (216)",
  "lattice_angstrom": [[5.018, 0.000, 0.000], [2.509, 4.346, 0.000], [2.509, 1.449, 4.098]],
  "species": ["Rh", "Pd", "Ac", "Na"],
  "frac_coords": [[0.750, 0.750, 0.750], [0.250, 0.250, 0.250], [0.500, 0.500, 0.500], [0.000, 0.000, 0.000]]
}



{
  "formula": "Ca4ScPa3P8",
  "functional": "GGA-PBE",
  "state": "relaxed",
  "final_energy_ev_per_atom": -6.657,
  "formation_enthalpy_0k_ev_per_atom": -1.28,
  "rho_g_cm3": 5.14,
  "magmom_total_mub_per_atom": 0.0000,
  "space_group": "R-3m (166)",
  "lattice_angstrom": [[8.043, 0.000, 0.000], [0.000, 8.076, 0.016], [-4.021, -4.017, 5.691]],
  "species": ["P", "P", "P", "P", "P", "P", "P", "P", "Pa", "Pa", "Pa", "Ca", "Ca", "Ca", "Ca", "Sc"],
  "frac_coords": [[0.256, 0.274, 0.015], [0.744, 0.732, 0.488], [0.241, 0.726, 0.985], [0.759, 0.274, 0.015], [0.744, 0.726, 0.985], [0.759, 0.274, 0.517], [0.256, 0.268, 0.512], [0.241, 0.726, 0.483], [0.000, 0.500, 0.500], [0.500, 0.500, 0.500], [0.500, 0.500, 0.000], [0.500, 0.000, 0.000], [0.000, 0.000, 0.500], [0.000, 0.000, 0.000], [0.500, 0.000, 0.500], [0.000, 0.500, 0.000]]
}



{
  "formula": "Ag3RhBr",
  "functional": "GGA-PBE",
  "state": "relaxed",
  "final_energy_ev_per_atom": -2.666,
  "rho_g_cm3": 6.31,
  "magmom_total_mub_per_atom": 0.2015,
  "e_above_lowest_polymorph_mev_per_atom": 0,
  "space_group": "Pm-3m (221)",
  "raw_formation_energy_ev_per_fu": 4.25,
  "lattice_angstrom": [[-3.640, -0.262, -3.576], [-3.254, -1.898, 3.452], [-1.505, 4.736, 1.185]],
  "species": ["Ag", "Ag", "Ag", "Br", "Rh"],
  "frac_coords": [[0.000, 0.000, 0.500], [0.500, 0.000, 0.000], [0.000, 0.500, 0.000], [0.500, 0.500, 0.500], [0.000, 0.000, 0.000]]
}



{
  "formula": "CsTl3Pb",
  "functional": "GGA-PBE",
  "state": "relaxed",
  "final_energy_ev_per_atom": -2.210,
  "formation_enthalpy_0k_ev_per_atom": 0.12,
  "rho_g_cm3": 6.63,
  "magmom_total_mub_per_atom": 0.0000,
  "e_above_lowest_polymorph_mev_per_atom": 202,
  "space_group": "Pm-3m (221)",
  "lattice_angstrom": [[6.203, 0.000, 0.000], [0.000, 6.203, 0.000], [0.000, 0.000, 6.203]],
  "species": ["Tl", "Tl", "Tl", "Pb", "Cs"],
  "frac_coords": [[0.500, 0.000, 0.000], [0.000, 0.000, 0.500], [0.000, 0.500, 0.000], [0.000, 0.000, 0.000], [0.500, 0.500, 0.500]]
}



{
  "formula": "SrMnBSe2",
  "functional": "GGA-PBE",
  "state": "relaxed",
  "final_energy_ev_per_atom": -5.272,
  "rho_g_cm3": 4.95,
  "magmom_total_mub_per_atom": 0.6074,
  "space_group": "P4/mmm (123)",
  "raw_formation_energy_ev_per_fu": -1.86,
  "lattice_angstrom": [[5.079, 0.000, 0.000], [0.000, 4.051, 0.000], [0.000, 0.000, 5.079]],
  "species": ["Se", "Se", "B", "Sr", "Mn"],
  "frac_coords": [[0.000, 0.000, 0.500], [0.500, 0.000, 0.000], [0.000, 0.500, 0.000], [0.500, 0.500, 0.500], [0.000, 0.000, 0.000]]
}



{
  "formula": "CrH",
  "functional": "GGA-PBE",
  "state": "relaxed",
  "final_energy_ev_per_atom": -6.326,
  "rho_g_cm3": 5.96,
  "magmom_total_mub_per_atom": 0.0000,
  "space_group": "P6_3mc (186)",
  "lattice_angstrom": [[2.746, 0.000, 0.000], [-1.373, 2.379, 0.000], [0.000, 0.000, 4.519]],
  "species": ["Cr", "Cr", "H", "H"],
  "frac_coords": [[0.667, 0.333, 0.226], [0.333, 0.667, 0.726], [0.333, 0.667, 0.356], [0.667, 0.333, 0.856]]
}



{
  "formula": "Ca2Sn2As",
  "functional": "GGA-PBE",
  "state": "relaxed",
  "final_energy_ev_per_atom": -3.846,
  "formation_enthalpy_0k_ev_per_atom": -0.51,
  "rho_g_cm3": 4.65,
  "magmom_total_mub_per_atom": 0.0000,
  "space_group": "P4/mbm (127)",
  "lattice_angstrom": [[7.762, 0.000, 0.000], [0.000, 7.762, 0.000], [0.000, 0.000, 4.653]],
  "species": ["Ca", "Ca", "Ca", "Ca", "As", "As", "Sn", "Sn", "Sn", "Sn"],
  "frac_coords": [[0.828, 0.328, 0.500], [0.672, 0.828, 0.500], [0.328, 0.172, 0.500], [0.172, 0.672, 0.500], [0.000, 0.000, 0.000], [0.500, 0.500, 0.000], [0.632, 0.132, 0.000], [0.132, 0.368, 0.000], [0.368, 0.868, 0.000], [0.868, 0.632, 0.000]]
}